[1]
# CaOs PBE optimized geometry
# - N(E_F) (states/eV/cell) = 4.39
# - ΔH_f (0 K) (kJ/mol of atoms) = 237
# - density (Mg/m³) = 5.48
# - E (eV/atom) = -4.160
data_CaOs
_chemical_formula_sum 'Ca1 Os1'
_cell_length_a 4.621
_cell_length_b 4.621
_cell_length_c 4.621
_cell_angle_alpha 60.00
_cell_angle_beta 60.00
_cell_angle_gamma 60.00
_symmetry_space_group_name_H-M 'P 1'
_symmetry_Int_Tables_number 1
_symmetry_space_group_name_Hall 'P 1'
loop_
_atom_site_label
_atom_site_fract_x
_atom_site_fract_y
_atom_site_fract_z
_atom_site_occupancy
Ca1 0.000 0.000 0.000 1
Os1 0.750 0.750 0.750 1

[2]
# CaOs3 PBE optimized geometry
# - distance to the lowest polymorph of the same formula (eV/atom) = 0.4162
# - N(E_F) (states/eV/cell) = 9.42
# - ΔH_f (0 K) (kJ/mol of atoms) = 83
# - density (Mg/m³) = 15.46
# - E (eV/atom) = -8.063
data_CaOs3
_chemical_formula_sum 'Ca2 Os6'
_cell_length_a 5.748
_cell_length_b 5.748
_cell_length_c 4.584
_cell_angle_alpha 90.00
_cell_angle_beta 90.00
_cell_angle_gamma 120.00
_symmetry_space_group_name_H-M 'P 1'
_symmetry_Int_Tables_number 1
_symmetry_space_group_name_Hall 'P 1'
loop_
_atom_site_label
_atom_site_fract_x
_atom_site_fract_y
_atom_site_fract_z
_atom_site_occupancy
Ca1 0.333 0.667 0.250 1
Ca2 0.667 0.333 0.750 1
Os1 0.161 0.322 0.750 1
Os2 0.161 0.839 0.750 1
Os3 0.322 0.161 0.250 1
Os4 0.678 0.839 0.750 1
Os5 0.839 0.161 0.250 1
Os6 0.839 0.678 0.250 1

[3]
# CaOs PBE optimized geometry
# - N(E_F) (states/eV/cell) = 1.99
# - ΔH_f (0 K) (kJ/mol of atoms) = 70
# - density (Mg/m³) = 10.29
# - E (eV/atom) = -5.892
data_CaOs
_chemical_formula_sum 'Ca1 Os1'
_cell_length_a 2.875
_cell_length_b 2.875
_cell_length_c 4.734
_cell_angle_alpha 90.00
_cell_angle_beta 90.00
_cell_angle_gamma 108.11
_symmetry_space_group_name_H-M 'P 1'
_symmetry_Int_Tables_number 1
_symmetry_space_group_name_Hall 'P 1'
loop_
_atom_site_label
_atom_site_fract_x
_atom_site_fract_y
_atom_site_fract_z
_atom_site_occupancy
Ca1 0.000 0.000 0.000 1
Os1 0.500 0.500 0.500 1

[4]
# Ca4Os3 PBE optimized geometry
# - N(E_F) (states/eV/cell) = 6.71
# - ΔH_f (0 K) (kJ/mol of atoms) = 34
# - density (Mg/m³) = 7.80
# - E (eV/atom) = -5.601
data_Ca4Os3
_chemical_formula_sum 'Ca4 Os3'
_cell_length_a 5.388
_cell_length_b 5.388
_cell_length_c 6.193
_cell_angle_alpha 90.00
_cell_angle_beta 90.00
_cell_angle_gamma 120.00
_symmetry_space_group_name_H-M 'P 1'
_symmetry_Int_Tables_number 1
_symmetry_space_group_name_Hall 'P 1'
loop_
_atom_site_label
_atom_site_fract_x
_atom_site_fract_y
_atom_site_fract_z
_atom_site_occupancy
Ca1 0.000 0.000 0.228 1
Ca2 0.000 0.000 0.772 1
Ca3 0.333 0.667 0.500 1
Ca4 0.667 0.333 0.500 1
Os1 0.000 0.500 0.000 1
Os2 0.500 0.000 0.000 1
Os3 0.500 0.500 0.000 1

[5]
# CaOs PBE optimized geometry
# - N(E_F) (states/eV/cell) = 35.68
# - ΔH_f (0 K) (kJ/mol of atoms) = 239
# - density (Mg/m³) = 4.31
# - E (eV/atom) = -4.139
data_CaOs
_chemical_formula_sum 'Ca6 Os6'
_cell_length_a 8.104
_cell_length_b 8.104
_cell_length_c 8.104
_cell_angle_alpha 90.00
_cell_angle_beta 90.00
_cell_angle_gamma 90.00
_symmetry_space_group_name_H-M 'P 1'
_symmetry_Int_Tables_number 1
_symmetry_space_group_name_Hall 'P 1'
loop_
_atom_site_label
_atom_site_fract_x
_atom_site_fract_y
_atom_site_fract_z
_atom_site_occupancy
Ca1 0.000 0.250 0.500 1
Ca2 0.000 0.750 0.500 1
Ca3 0.250 0.500 0.000 1
Ca4 0.500 0.000 0.250 1
Ca5 0.500 0.000 0.750 1
Ca6 0.750 0.500 0.000 1
Os1 0.000 0.500 0.250 1
Os2 0.000 0.500 0.750 1
Os3 0.250 0.000 0.500 1
Os4 0.500 0.250 0.000 1
Os5 0.500 0.750 0.000 1
Os6 0.750 0.000 0.500 1

[6]
# CaOs PBE optimized geometry
# - N(E_F) (states/eV/cell) = 1.53
# - ΔH_f (0 K) (kJ/mol of atoms) = 66
# - density (Mg/m³) = 9.98
# - E (eV/atom) = -5.927
data_CaOs
_chemical_formula_sum 'Ca1 Os1'
_cell_length_a 2.655
_cell_length_b 3.161
_cell_length_c 4.569
_cell_angle_alpha 90.00
_cell_angle_beta 90.00
_cell_angle_gamma 90.00
_symmetry_space_group_name_H-M 'P 1'
_symmetry_Int_Tables_number 1
_symmetry_space_group_name_Hall 'P 1'
loop_
_atom_site_label
_atom_site_fract_x
_atom_site_fract_y
_atom_site_fract_z
_atom_site_occupancy
Ca1 0.000 0.000 0.000 1
Os1 0.500 0.500 0.500 1

[7]
# Ca4Os PBE optimized geometry
# - distance to the lowest polymorph of the same formula (eV/atom) = 0.0000
# - N(E_F) (states/eV/cell) = 7.26
# - ΔH_f (0 K) (kJ/mol of atoms) = 28
# - density (Mg/m³) = 3.29
# - E (eV/atom) = -3.556
data_Ca4Os
_chemical_formula_sum 'Ca4 Os1'
_cell_length_a 5.612
_cell_length_b 5.612
_cell_length_c 5.612
_cell_angle_alpha 90.00
_cell_angle_beta 90.00
_cell_angle_gamma 90.00
_symmetry_space_group_name_H-M 'P 1'
_symmetry_Int_Tables_number 1
_symmetry_space_group_name_Hall 'P 1'
loop_
_atom_site_label
_atom_site_fract_x
_atom_site_fract_y
_atom_site_fract_z
_atom_site_occupancy
Ca1 0.000 0.000 0.000 1
Ca2 0.000 0.500 0.500 1
Ca3 0.500 0.000 0.500 1
Ca4 0.500 0.500 0.000 1
Os1 0.500 0.500 0.500 1

[8]
# Ca3Os5 PBE optimized geometry
# - N(E_F) (states/eV/cell) = 16.43
# - ΔH_f (0 K) (kJ/mol of atoms) = 49
# - density (Mg/m³) = 10.27
# - E (eV/atom) = -7.265
data_Ca3Os5
_chemical_formula_sum 'Ca6 Os10'
_cell_length_a 4.807
_cell_length_b 8.555
_cell_length_c 8.555
_cell_angle_alpha 79.91
_cell_angle_beta 90.00
_cell_angle_gamma 90.00
_symmetry_space_group_name_H-M 'P 1'
_symmetry_Int_Tables_number 1
_symmetry_space_group_name_Hall 'P 1'
loop_
_atom_site_label
_atom_site_fract_x
_atom_site_fract_y
_atom_site_fract_z
_atom_site_occupancy
Ca1 0.250 0.141 0.859 1
Ca2 0.250 0.564 0.082 1
Ca3 0.250 0.940 0.427 1
Ca4 0.750 0.082 0.564 1
Ca5 0.750 0.427 0.940 1
Ca6 0.750 0.859 0.141 1
Os1 0.000 0.216 0.216 1
Os2 0.000 0.755 0.755 1
Os3 0.250 0.344 0.440 1
Os4 0.250 0.494 0.689 1
Os5 0.250 0.638 0.392 1
Os6 0.500 0.216 0.216 1
Os7 0.500 0.755 0.755 1
Os8 0.750 0.392 0.638 1
Os9 0.750 0.440 0.344 1
Os10 0.750 0.689 0.494 1

[9]
# Ca5Os3 PBE optimized geometry
# - distance to the lowest polymorph of the same formula (eV/atom) = 0.0000
# - N(E_F) (states/eV/cell) = 12.31
# - ΔH_f (0 K) (kJ/mol of atoms) = 43
# - density (Mg/m³) = 6.44
# - E (eV/atom) = -5.015
data_Ca5Os3
_chemical_formula_sum 'Ca10 Os6'
_cell_length_a 9.516
_cell_length_b 9.516
_cell_length_c 5.070
_cell_angle_alpha 90.00
_cell_angle_beta 90.00
_cell_angle_gamma 120.00
_symmetry_space_group_name_H-M 'P 1'
_symmetry_Int_Tables_number 1
_symmetry_space_group_name_Hall 'P 1'
loop_
_atom_site_label
_atom_site_fract_x
_atom_site_fract_y
_atom_site_fract_z
_atom_site_occupancy
Ca1 0.000 0.255 0.250 1
Ca2 0.000 0.745 0.750 1
Ca3 0.255 0.000 0.250 1
Ca4 0.255 0.255 0.750 1
Ca5 0.333 0.667 0.000 1
Ca6 0.333 0.667 0.500 1
Ca7 0.667 0.333 0.000 1
Ca8 0.667 0.333 0.500 1
Ca9 0.745 0.000 0.750 1
Ca10 0.745 0.745 0.250 1
Os1 0.000 0.457 0.750 1
Os2 0.000 0.543 0.250 1
Os3 0.457 0.000 0.750 1
Os4 0.457 0.457 0.250 1
Os5 0.543 0.000 0.250 1
Os6 0.543 0.543 0.750 1

[10]
# CaOs PBE optimized geometry
# - N(E_F) (states/eV/cell) = 2.06
# - ΔH_f (0 K) (kJ/mol of atoms) = 10
# - density (Mg/m³) = 6.77
# - E (eV/atom) = -6.514
data_CaOs
_chemical_formula_sum 'Ca2 Os2'
_cell_length_a 8.018
_cell_length_b 8.018
_cell_length_c 8.018
_cell_angle_alpha 29.83
_cell_angle_beta 29.83
_cell_angle_gamma 29.83
_symmetry_space_group_name_H-M 'P 1'
_symmetry_Int_Tables_number 1
_symmetry_space_group_name_Hall 'P 1'
loop_
_atom_site_label
_atom_site_fract_x
_atom_site_fract_y
_atom_site_fract_z
_atom_site_occupancy
Ca1 0.092 0.092 0.092 1
Ca2 0.908 0.908 0.908 1
Os1 0.324 0.324 0.324 1
Os2 0.676 0.676 0.676 1

[11]
# CaOs PBE optimized geometry
# - N(E_F) (states/eV/cell) = 3.07
# - ΔH_f (0 K) (kJ/mol of atoms) = 96
# - density (Mg/m³) = 9.44
# - E (eV/atom) = -5.620
data_CaOs
_chemical_formula_sum 'Ca1 Os1'
_cell_length_a 3.435
_cell_length_b 3.435
_cell_length_c 3.435
_cell_angle_alpha 90.00
_cell_angle_beta 90.00
_cell_angle_gamma 90.00
_symmetry_space_group_name_H-M 'P 1'
_symmetry_Int_Tables_number 1
_symmetry_space_group_name_Hall 'P 1'
loop_
_atom_site_label
_atom_site_fract_x
_atom_site_fract_y
_atom_site_fract_z
_atom_site_occupancy
Ca1 0.000 0.000 0.000 1
Os1 0.500 0.500 0.500 1

[12]
# CaOs3 PBE optimized geometry
# - distance to the lowest polymorph of the same formula (eV/atom) = 0.0405
# - N(E_F) (states/eV/cell) = 2.52
# - ΔH_f (0 K) (kJ/mol of atoms) = 47
# - density (Mg/m³) = 15.61
# - E (eV/atom) = -8.439
data_CaOs3
_chemical_formula_sum 'Ca1 Os3'
_cell_length_a 2.816
_cell_length_b 2.816
_cell_length_c 9.458
_cell_angle_alpha 90.00
_cell_angle_beta 90.00
_cell_angle_gamma 120.00
_symmetry_space_group_name_H-M 'P 1'
_symmetry_Int_Tables_number 1
_symmetry_space_group_name_Hall 'P 1'
loop_
_atom_site_label
_atom_site_fract_x
_atom_site_fract_y
_atom_site_fract_z
_atom_site_occupancy
Ca1 0.000 0.000 0.000 1
Os1 0.000 0.000 0.500 1
Os2 0.667 0.333 0.277 1
Os3 0.667 0.333 0.723 1